Below is ReAu2S after structural relaxation, with properties calculated at the GGA-PBE level.

Calculated values
- crystal system = cubic
- offset from the most stable computed form (meV per atom) = 304.6
- formation energy (no corrections) (eV per atom) = 1.13

Unit cell a=4.644 b=4.644 c=4.644 alpha=60.00 beta=60.00 gamma=60.00
Site moments in Bohr magnetons follow the coordinates.
Positions (direct):
Re  0.500  0.500  0.500  2.38
S  0.000  0.000  0.000  0.03
Au  0.250  0.250  0.250  0.09
Au  0.750  0.750  0.750  0.09



Below is ReAu3S after structural relaxation, with properties calculated at the GGA-PBE level.

Calculated values
- crystal system = cubic
- offset from the most stable computed form (meV per atom) = 0.0
- formation energy (no corrections) (eV per atom) = 1.41

Unit cell a=4.739 b=4.739 c=4.739 alpha=90.00 beta=90.00 gamma=90.00
Site moments in Bohr magnetons follow the coordinates.
Positions (direct):
Re  0.500  0.500  0.500  3.29
S  0.000  0.000  0.000  0.06
Au  0.000  0.500  0.000  0.00
Au  0.000  0.000  0.500  -0.03
Au  0.500  0.000  0.000  0.09



Below is Re2AuS after structural relaxation, with properties calculated at the GGA-PBE level.

Calculated values
- crystal system = cubic
- offset from the most stable computed form (meV per atom) = 0.0
- formation energy (no corrections) (eV per atom) = 0.83

Unit cell a=4.393 b=4.393 c=4.393 alpha=60.00 beta=60.00 gamma=60.00
Positions (direct):
Re  0.250  0.250  0.250
Re  0.750  0.750  0.750
S  0.000  0.000  0.000
Au  0.500  0.500  0.500



Below is Re3AuS after structural relaxation, with properties calculated at the GGA-PBE level.

Calculated values
- crystal system = cubic
- offset from the most stable computed form (meV per atom) = 0.0
- formation energy (no corrections) (eV per atom) = 1.00

Unit cell a=4.358 b=4.358 c=4.358 alpha=90.00 beta=90.00 gamma=90.00
Positions (direct):
Re  0.000  0.500  0.000
Re  0.000  0.000  0.500
Re  0.500  0.000  0.000
S  0.000  0.000  0.000
Au  0.500  0.500  0.500



Below is ReAu2S after structural relaxation, with properties calculated at the GGA-PBE level.

Calculated values
- crystal system = tetragonal
- offset from the most stable computed form (meV per atom) = 0.0
- formation energy (no corrections) (eV per atom) = 0.83

Unit cell a=7.450 b=7.450 c=5.875 alpha=50.65 beta=50.65 gamma=90.00
Site moments in Bohr magnetons follow the coordinates.
Positions (direct):
Re  0.000  0.000  0.000  2.27
Re  0.750  0.250  0.500  2.27
S  0.500  0.500  0.000  0.07
S  0.250  0.750  0.500  0.07
Au  0.612  0.125  0.250  0.09
Au  0.138  0.625  0.250  0.09
Au  0.375  0.388  0.750  0.09
Au  0.875  0.862  0.750  0.09



Below is ReAuS2 after structural relaxation, with properties calculated at the GGA-PBE level.

Calculated values
- crystal system = cubic
- offset from the most stable computed form (meV per atom) = 768.6
- formation energy (no corrections) (eV per atom) = 0.71

Unit cell a=4.413 b=4.413 c=4.413 alpha=60.00 beta=60.00 gamma=60.00
Positions (direct):
Re  0.000  0.000  0.000
S  0.250  0.250  0.250
S  0.750  0.750  0.750
Au  0.500  0.500  0.500



Below is Zn2ReAuS after structural relaxation, with properties calculated at the GGA-PBE level.

Calculated values
- crystal system = tetragonal
- formation energy (no corrections) (eV per atom) = 0.56

Unit cell a=5.022 b=4.325 c=5.022 alpha=90.00 beta=90.00 gamma=90.00
Positions (direct):
Re  0.000  0.000  0.000
Zn  0.000  0.000  0.500
Zn  0.500  0.000  0.000
Au  0.500  0.500  0.500
S  0.000  0.500  0.000



Below is ReSbAu after structural relaxation, with properties calculated at the GGA-PBE level.

Calculated values
- crystal system = cubic
- offset from the most stable computed form (meV per atom) = 0.0
- formation energy (no corrections) (eV per atom) = 0.57

Unit cell a=4.469 b=4.469 c=4.469 alpha=60.00 beta=60.00 gamma=60.00
Positions (direct):
Au  0.500  0.500  0.500
Re  0.750  0.750  0.750
Sb  0.000  0.000  0.000